1.
This record from the Alexandria database describes a relaxed structure of Tb2TcGe4. The functional is PBE.

a = 6.036 Å, b = 6.036 Å, c = 6.036 Å
α = 120.70°, β = 120.70°, γ = 88.79°
Element x y z (fractional)
1 Tb 0.250 0.750 0.500
2 Tb 0.750 0.250 0.500
3 Tc 0.000 0.000 0.000
4 Ge 0.289 0.289 0.578
5 Ge 0.289 0.711 0.000
6 Ge 0.711 0.289 0.000
7 Ge 0.711 0.711 0.422

Output
Energy of formation from the pure elements ... -0.3348 eV per atom
Space-group type ... No. 139

2.
This record from the Alexandria database describes a relaxed structure of Tb2Tc2Ge3. The functional is PBE.

a = 6.154 Å, b = 6.154 Å, c = 7.363 Å
α = 125.71°, β = 125.71°, γ = 40.73°
Element x y z (fractional)
1 Tb 0.070 0.070 0.326
2 Tb 0.930 0.930 0.674
3 Tc 0.268 0.268 0.919
4 Tc 0.732 0.732 0.081
5 Ge 0.352 0.352 0.333
6 Ge 0.500 0.500 0.000
7 Ge 0.648 0.648 0.667

Output
Energy of formation from the pure elements ... -0.5148 eV per atom
Space-group type ... No. 12

3.
This record from the Alexandria database describes a relaxed structure of Tb2Tc3Ge4. The functional is PBE.

a = 8.033 Å, b = 7.051 Å, c = 5.454 Å
α = 78.81°, β = 59.43°, γ = 41.76°
Element x y z (fractional)
1 Tb 0.135 0.135 0.865
2 Tb 0.865 0.865 0.135
3 Tc 0.000 0.000 0.500
4 Tc 0.500 0.500 0.000
5 Tc 0.500 0.500 0.500
6 Ge 0.174 0.505 0.495
7 Ge 0.495 0.826 0.174
8 Ge 0.505 0.174 0.826
9 Ge 0.826 0.495 0.505

Output
Energy of formation from the pure elements ... -0.3880 eV per atom
Space-group type ... No. 69

4.
This record from the Alexandria database describes a relaxed structure of Tb2TcGe3. The functional is PBE.

a = 6.289 Å, b = 6.289 Å, c = 6.289 Å
α = 138.90°, β = 127.60°, γ = 68.67°
Element x y z (fractional)
1 Tb 0.183 0.183 0.000
2 Tb 0.817 0.817 0.000
3 Tc 0.500 0.500 0.000
4 Ge 0.000 0.500 0.500
5 Ge 0.372 0.872 0.500
6 Ge 0.628 0.128 0.500

Output
Energy of formation from the pure elements ... -0.3607 eV per atom
Space-group type ... No. 71

5.
This record from the Alexandria database describes a relaxed structure of Tb2TcGe2. The functional is PBE.

a = 7.476 Å, b = 7.476 Å, c = 7.476 Å
α = 129.85°, β = 72.19°, γ = 131.69°
Element x y z (fractional)
1 Tb 0.144 0.205 0.349
2 Tb 0.356 0.705 0.061
3 Tb 0.644 0.295 0.939
4 Tb 0.856 0.795 0.651
5 Tc 0.250 0.750 0.500
6 Tc 0.750 0.250 0.500
7 Ge 0.106 0.739 0.845
8 Ge 0.394 0.239 0.632
9 Ge 0.606 0.761 0.368
10 Ge 0.894 0.261 0.155

Output
Polymorph energy (0 for the lowest one) ... 0.1638 eV/atom
Energy of formation from the pure elements ... -0.5200 eV per atom
Space-group type ... No. 72

6.
This record from the Alexandria database describes a relaxed structure of TbTc5Ge6. The functional is PBE.

a = 6.580 Å, b = 6.580 Å, c = 6.603 Å
α = 97.77°, β = 97.77°, γ = 132.77°
Element x y z (fractional)
1 Tb 0.000 0.000 0.000
2 Tc 0.000 0.000 0.500
3 Tc 0.313 0.687 0.000
4 Tc 0.376 0.624 0.500
5 Tc 0.624 0.376 0.500
6 Tc 0.687 0.313 0.000
7 Ge 0.184 0.809 0.299
8 Ge 0.191 0.816 0.701
9 Ge 0.439 0.439 0.789
10 Ge 0.561 0.561 0.211
11 Ge 0.809 0.184 0.299
12 Ge 0.816 0.191 0.701

Output
Energy of formation from the pure elements ... -0.0619 eV per atom
Space-group type ... No. 12

7.
This record from the Alexandria database describes a relaxed structure of TbTcGe4. The functional is PBE.

a = 6.320 Å, b = 6.415 Å, c = 6.899 Å
α = 90.11°, β = 90.00°, γ = 119.50°
Element x y z (fractional)
1 Tb 0.095 0.000 0.250
2 Tb 0.905 0.000 0.750
3 Tc 0.000 0.500 0.000
4 Tc 0.500 0.500 0.500
5 Ge 0.138 0.508 0.348
6 Ge 0.309 0.906 0.908
7 Ge 0.370 0.508 0.848
8 Ge 0.403 0.094 0.592
9 Ge 0.597 0.906 0.408
10 Ge 0.630 0.492 0.152
11 Ge 0.691 0.094 0.092
12 Ge 0.862 0.492 0.652

Output
Energy of formation from the pure elements ... -0.2020 eV per atom
Space-group type ... No. 2

8.
This record from the Alexandria database describes a relaxed structure of TbTc4Ge4. The functional is PBE.

a = 8.265 Å, b = 8.265 Å, c = 4.779 Å
α = 90.00°, β = 90.00°, γ = 90.00°
Element x y z (fractional)
1 Tb 0.250 0.250 0.250
2 Tb 0.750 0.750 0.750
3 Tc 0.121 0.859 0.670
4 Tc 0.141 0.621 0.170
5 Tc 0.359 0.879 0.170
6 Tc 0.379 0.641 0.670
7 Tc 0.621 0.359 0.330
8 Tc 0.641 0.121 0.830
9 Tc 0.859 0.379 0.830
10 Tc 0.879 0.141 0.330
11 Ge 0.037 0.897 0.179
12 Ge 0.103 0.537 0.679
13 Ge 0.397 0.963 0.679
14 Ge 0.463 0.603 0.179
15 Ge 0.537 0.397 0.821
16 Ge 0.603 0.037 0.321
17 Ge 0.897 0.463 0.321
18 Ge 0.963 0.103 0.821

Output
Energy of formation from the pure elements ... -0.1433 eV per atom
Space-group type ... No. 86

9.
This record from the Alexandria database describes a relaxed structure of TbTcGe2. The functional is PBE.

a = 3.231 Å, b = 3.231 Å, c = 6.908 Å
α = 90.00°, β = 90.00°, γ = 90.00°
Element x y z (fractional)
1 Tb 0.000 0.000 0.000
2 Tc 0.000 0.000 0.500
3 Ge 0.500 0.500 0.299
4 Ge 0.500 0.500 0.701

Output
Polymorph energy (0 for the lowest one) ... 0.1620 eV/atom
Energy of formation from the pure elements ... -0.3549 eV per atom
Space-group type ... No. 123

10.
This record from the Alexandria database describes a relaxed structure of TbTc2Ge3. The functional is PBE.

a = 6.089 Å, b = 6.089 Å, c = 5.908 Å
α = 90.00°, β = 90.00°, γ = 78.10°
Element x y z (fractional)
1 Tb 0.140 0.860 0.750
2 Tb 0.860 0.140 0.250
3 Tc 0.287 0.287 0.000
4 Tc 0.287 0.287 0.500
5 Tc 0.713 0.713 0.000
6 Tc 0.713 0.713 0.500
7 Ge 0.053 0.626 0.250
8 Ge 0.374 0.947 0.250
9 Ge 0.488 0.512 0.250
10 Ge 0.512 0.488 0.750
11 Ge 0.626 0.053 0.750
12 Ge 0.947 0.374 0.750

Output
Polymorph energy (0 for the lowest one) ... 0.0478 eV/atom
Energy of formation from the pure elements ... -0.3021 eV per atom
Space-group type ... No. 63

11.
This record from the Alexandria database describes a relaxed structure of TbTcGe2. The functional is PBE.

a = 7.058 Å, b = 7.058 Å, c = 7.058 Å
α = 39.23°, β = 39.23°, γ = 39.23°
Element x y z (fractional)
1 Tb 0.000 0.000 0.000
2 Tc 0.500 0.500 0.500
3 Ge 0.377 0.377 0.377
4 Ge 0.623 0.623 0.623

Output
Polymorph energy (0 for the lowest one) ... 1.4877 eV/atom
Energy of formation from the pure elements ... 0.9707 eV per atom
Space-group type ... No. 166

12.
This record from the Alexandria database describes a relaxed structure of Tb5TcGe4. The functional is PBE.

a = 9.134 Å, b = 9.134 Å, c = 7.855 Å
α = 112.19°, β = 112.19°, γ = 23.96°
Element x y z (fractional)
1 Tb 0.000 0.000 0.000
2 Tb 0.312 0.312 0.894
3 Tb 0.356 0.356 0.489
4 Tb 0.644 0.644 0.511
5 Tb 0.688 0.688 0.106
6 Tc 0.000 0.000 0.500
7 Ge 0.138 0.138 0.794
8 Ge 0.475 0.475 0.254
9 Ge 0.525 0.525 0.746
10 Ge 0.862 0.862 0.206

Output
Energy of formation from the pure elements ... -0.4734 eV per atom
Space-group type ... No. 12